Entry from Alexandria: a geometry-optimized Nd2HoTm5Sc structure (PBE).

a b c (Å): 8.4484 8.4484 15.5512
angles (deg): 90.00 90.00 90.00
Closest atoms and distances in Å follow each position.
Space group I4/mcm (No. 140)
Symmetry-distinct sites (fractional):
Nd1 0.1197 0.3803 0.0000 (multiplicity 8)  1 Nd 2.86, 2 Tm 3.01
Ho1 0.0000 0.0000 0.2500 (multiplicity 4)  8 Tm 3.45
Tm1 0.0000 0.0000 0.0000 (multiplicity 4)  4 Nd 3.37, 8 Tm 3.76
Tm2 0.2104 0.2896 0.3568 (multiplicity 16)  1 Sc 3.01, 1 Nd 3.01
Sc1 0.0000 0.5000 0.2500 (multiplicity 4)  4 Tm 3.01

The total energy is -4.4795 eV per atom. As for the density of states at the Fermi level: 11.6 states/eV/f.u. The formation energy comes out at 276.3 meV per atom.